1.
! NbH8N2OF5 | the Alexandria database | SCAN | PBEsol geometry; values from VASP
! **E**: -7.682 eV per atom
! **Total moment**: 0.0025 μB per atom
! **DOS at the Fermi energy**: 0.000 states/eV/cell
&SYSTEM
  ibrav = 0, nat = 68, ntyp = 5
/
ATOMIC_SPECIES
H 1.01 H.upf
F 19.00 F.upf
Nb 92.91 Nb.upf
N 14.01 N.upf
O 16.00 O.upf
CELL_PARAMETERS angstrom
-1.2447 -5.8303 0.8794
9.2402 -5.2051 -0.7870
1.3107 -1.8135 10.4851
ATOMIC_POSITIONS angstrom
H 6.1649 -9.2297 3.2423
F 4.7172 -9.5533 5.8096
H 7.3626 -7.4924 6.1080
H 4.5405 -8.9041 2.8511
F 6.3511 -9.6303 0.2572
H 1.4297 -3.2094 7.8839
H 7.2318 -5.3825 6.9815
F 9.0338 -10.4024 5.8539
F 9.5330 -7.0815 7.7370
Nb 4.7523 -5.0540 4.1163
H 7.8984 -9.0690 6.4907
H 2.3882 -8.2455 6.3797
F 4.2509 -3.6006 2.8926
H 5.9157 -5.4116 8.0833
N 2.2239 -3.8747 7.8142
F 3.3648 -8.5573 9.4449
H 7.5199 -5.4510 8.6681
H 1.4220 -4.3761 2.5103
H 6.2591 -8.8159 6.1083
H 1.8105 -6.8293 5.7048
O 1.4439 -6.3097 8.9604
F 6.1074 -8.2502 9.0710
N 2.4876 -1.8078 1.2458
H 6.5946 -6.0938 1.3790
H 5.7471 -8.9148 1.6501
N 1.0444 -4.2353 3.4794
H 1.8147 -3.9553 4.1231
Nb 4.5753 -7.2279 10.2600
Nb 9.1673 -5.9857 4.1821
F 3.1736 -6.0995 3.6806
H 2.2683 -1.5522 2.2397
H 1.9643 -4.7862 8.2677
H 2.3334 -2.8348 1.0863
F 3.7635 -6.8684 0.9987
H 5.6826 -7.6340 2.8054
H 0.6773 -5.1484 3.8445
H 7.3404 -5.3192 0.0467
H 2.4649 -4.0213 6.8034
O 2.1596 -4.5661 0.8847
H 6.8602 -8.2595 7.5704
F 0.9811 -2.1980 5.7776
F 3.2193 -4.0311 5.3041
F 0.4207 -6.6662 4.5134
F 4.9440 -6.1647 5.7276
N 5.5287 -8.6608 2.6446
H 7.7233 -6.9543 0.4131
H 0.2965 -3.5130 3.4775
H 2.0965 -6.8961 7.3920
F -0.5270 -5.8971 0.9381
F 7.2973 -10.4025 3.8337
F 4.8439 -4.3720 0.2138
N 2.4406 -7.1994 6.4479
Nb 9.4014 -11.4999 9.4091
H 2.2313 -7.3958 1.9191
N 7.1032 -8.4048 6.5599
F 8.3493 -10.0801 8.6018
H 7.5163 -8.3276 10.2501
H 3.0695 -3.4639 8.2637
N 6.8886 -5.0804 7.9263
F -0.4329 -3.1351 0.9524
F 4.3865 -6.1151 8.6498
O 7.8842 -5.9707 5.4172
O 5.8568 -5.9020 3.0060
F 8.4524 -7.3346 2.9429
N 6.9743 -6.2332 0.4103
H 1.8521 -1.2399 0.6467
H 5.6955 -9.8646 8.8752
H 3.4140 -6.8692 6.2916

---

2.
! ZrSi2Tc | the Alexandria database | SCAN | PBEsol geometry; values from VASP
! **Formation energy without anion corrections**: -293 meV per atom
! **E**: -21.741 eV per atom
! **Total moment**: 0.0000 μB per atom
! **DOS at the Fermi energy**: 2.559 states/eV/cell
! **Energy relative to the lowest polymorph listed for this composition**: 232 meV per atom
&SYSTEM
  ibrav = 0, nat = 4, ntyp = 3
/
ATOMIC_SPECIES
Zr 91.22 Zr.upf
Tc 98.00 Tc.upf
Si 28.09 Si.upf
CELL_PARAMETERS angstrom
3.4282 0.0000 0.0000
0.0000 3.9819 0.0000
0.0000 0.0000 4.4461
ATOMIC_POSITIONS angstrom
Zr 0.0000 1.9909 2.2230
Tc 1.7141 1.9909 0.0000
Si 0.0000 0.0000 0.0000
Si 1.7141 0.0000 2.2230